La3OsPb | the Alexandria database | PBE | relaxed; DFT formation energy = -0.0365 eV per atom; mass density = 8.79 Mg/m³; DFT total energy = -59.81 eV per cell
1.0
1.8929 4.5864 6.0250
-6.2320 -4.6609 -0.5980
3.3053 -4.7502 2.5775
Pb Os La
2 2 6
Direct
0.5542 0.4458 0.2500
0.4458 0.5542 0.7500
0.1751 0.8249 0.2500
0.8249 0.1751 0.7500
0.0545 0.4331 0.2500
0.5669 0.9455 0.2500
0.4331 0.0545 0.7500
0.9455 0.5669 0.7500
0.0000 0.0000 0.0000
0.0000 0.0000 0.5000